# 1
{"formula": "Ta2Fe2Mo", "functional": "PBE", "state": "optimized geometry", "e_form_mev_per_atom": 84, "sg": "P4/mbm", "lattice": [[6.976, 0.000, 0.000], [0.000, 6.976, 0.000], [0.000, 0.000, 3.028]], "species": ["Ta", "Ta", "Ta", "Ta", "Fe", "Fe", "Fe", "Fe", "Mo", "Mo"], "frac_coords": [[0.169, 0.331, 0.000], [0.331, 0.831, 0.000], [0.669, 0.169, 0.000], [0.831, 0.669, 0.000], [0.128, 0.628, 0.500], [0.372, 0.128, 0.500], [0.628, 0.872, 0.500], [0.872, 0.372, 0.500], [0.000, 0.000, 0.500], [0.500, 0.500, 0.500]]}

***

# 2
{"formula": "InMoPCl2", "functional": "PBE", "state": "optimized geometry", "formation_energy_uncorrected_ev_per_fu": -0.67, "sg": "P4/mmm", "lattice": [[5.041, 0.000, 0.000], [0.000, 5.041, 0.000], [0.000, 0.000, 4.854]], "species": ["In", "Mo", "P", "Cl", "Cl"], "frac_coords": [[0.000, 0.000, 0.000], [0.500, 0.500, 0.500], [0.500, 0.500, 0.000], [0.000, 0.500, 0.500], [0.500, 0.000, 0.500]]}

***

# 3
{"formula": "CaPb2C2", "functional": "PBE", "state": "optimized geometry", "e_form_mev_per_atom": 1323, "sg": "P4/mbm", "lattice": [[7.138, 0.000, 0.000], [0.000, 7.138, 0.000], [0.000, 0.000, 3.669]], "species": ["Ca", "Ca", "Pb", "Pb", "Pb", "Pb", "C", "C", "C", "C"], "frac_coords": [[0.000, 0.000, 0.000], [0.500, 0.500, 0.000], [0.152, 0.348, 0.500], [0.348, 0.848, 0.500], [0.652, 0.152, 0.500], [0.848, 0.652, 0.500], [0.160, 0.660, 0.000], [0.340, 0.160, 0.000], [0.660, 0.840, 0.000], [0.840, 0.340, 0.000]]}

***

The records above yield Fermi-level density of states values of 12.46; 2.06; 5.40 states/eV per cell, respectively.